1.
DFT (PBE) results for an optimized crystal structure of AsIrCl2.

Results
- ΔE to the lowest computed polymorph: 918 meV per atom
- E_form (uncorrected): 447.3 meV/atom

Cell lengths 3.202, 3.202, 11.336 Å; angles 90.00, 90.00, 125.72 degrees
Element x y z (fractional)
As 0.000 0.000 0.000
Ir 0.000 0.000 0.500
Cl 0.500 0.500 0.337
Cl 0.500 0.500 0.663


2.
DFT (PBE) results for an optimized crystal structure of MgMnSb3.

Results
- ΔE to the lowest computed polymorph: 992 meV per atom
- E_form (uncorrected): 1350.9 meV/atom

Cell lengths 5.276, 5.276, 5.276 Å; angles 90.00, 90.00, 90.00 degrees
Element x y z (fractional)
Mg 0.000 0.000 0.000
Mn 0.500 0.500 0.500
Sb 0.000 0.000 0.500
Sb 0.000 0.500 0.000
Sb 0.500 0.000 0.000


3.
DFT (PBE) results for an optimized crystal structure of NaGdSi4.

Results
- E_form (uncorrected): -205.4 meV/atom

Cell lengths 5.309, 5.309, 5.309 Å; angles 60.00, 60.00, 60.00 degrees
Element x y z (fractional)
Na 0.000 0.000 0.000
Gd 0.250 0.250 0.250
Si 0.119 0.627 0.627
Si 0.627 0.119 0.627
Si 0.627 0.627 0.119
Si 0.627 0.627 0.627


4.
DFT (PBE) results for an optimized crystal structure of Tb3Pm6Y2In.

Results
- Energy of formation: -39 meV per atom

Cell lengths 6.198, 6.198, 11.817 Å; angles 95.07, 95.07, 120.14 degrees
Element x y z (fractional)
Tb 0.000 0.000 0.000
Tb 0.332 0.668 0.000
Tb 0.668 0.332 0.000
Pm 0.091 0.418 0.252
Pm 0.256 0.256 0.749
Pm 0.418 0.091 0.252
Pm 0.582 0.909 0.748
Pm 0.744 0.744 0.251
Pm 0.909 0.582 0.748
Y 0.166 0.834 0.500
Y 0.834 0.166 0.500
In 0.500 0.500 0.500


5.
DFT (PBE) results for an optimized crystal structure of Cs3OsBr.

Results
- ΔE to the lowest computed polymorph: 0 meV per atom
- E_form (uncorrected): 377.0 meV/atom

Cell lengths 6.011, 6.011, 6.011 Å; angles 90.00, 90.00, 90.00 degrees
Element x y z (fractional)
Cs 0.000 0.000 0.500
Cs 0.000 0.500 0.000
Cs 0.500 0.000 0.000
Os 0.000 0.000 0.000
Br 0.500 0.500 0.500


6.
DFT (PBE) results for an optimized crystal structure of PrCuIr.

Results
- Energy of formation: -343 meV per atom
- ΔE to the lowest computed polymorph: 83 meV per atom

Cell lengths 4.292, 4.292, 3.936 Å; angles 90.00, 90.00, 120.00 degrees
Element x y z (fractional)
Pr 0.000 0.000 0.000
Cu 0.333 0.667 0.500
Ir 0.667 0.333 0.500


E_tot per entry: -3.85; -3.28; -6.39; -4.88; -2.72; -6.26 eV per atom
Total magnetization per entry: 0.0; 0.4; 7.0; 0.0; 0.0; 0.0 μB/f.u.